VASP calculation (PBE-GGA) on a relaxed structure of La5Tb2CePm.

Cell: 8.2936 8.2936 9.3531 Å, 90.00 90.00 90.00°
Last column: nearest neighbours and their distance in Å.
Element x y z (fractional)
La 0.0000 0.0000 0.0000  4 Tb 3.26
La 0.1905 0.3095 0.2735  1 Ce 3.08, 1 Tb 3.32
La 0.1905 0.3095 0.7266  1 Ce 3.08, 1 Tb 3.32
La 0.3095 0.8095 0.2735  1 Ce 3.08, 1 Tb 3.32
La 0.3095 0.8095 0.7266  1 Ce 3.08, 1 Tb 3.32
La 0.5000 0.5000 0.0000  4 Tb 3.26
La 0.6905 0.1905 0.2735  1 Ce 3.08, 1 Tb 3.32
La 0.6905 0.1905 0.7266  1 Ce 3.08, 1 Tb 3.32
La 0.8095 0.6905 0.2735  1 Ce 3.08, 1 Tb 3.32
La 0.8095 0.6905 0.7266  1 Ce 3.08, 1 Tb 3.32
Tb 0.1292 0.6292 0.0000  1 Tb 3.03, 4 La 3.26-3.32
Tb 0.3708 0.1292 0.0000  1 Tb 3.03, 4 La 3.26-3.32
Tb 0.6292 0.8708 0.0000  1 Tb 3.03, 4 La 3.26-3.32
Tb 0.8708 0.3708 0.0000  1 Tb 3.03, 4 La 3.26-3.32
Ce 0.0000 0.5000 0.5000  4 La 3.08
Ce 0.5000 0.0000 0.5000  4 La 3.08
Pm 0.0000 0.0000 0.5000  8 La 3.68
Pm 0.5000 0.5000 0.5000  8 La 3.68

## Properties
The total DFT energy (no corrections) comes out at -4.679 eV/atom. As for the symmetry: P4/mbm. Its formation energy is 0.275 eV/atom.



VASP calculation (PBE-GGA) on a relaxed structure of La3CePm2Te6.

Cell: 10.1182 10.1182 9.1031 Å, 102.84 102.84 25.76°
Last column: nearest neighbours and their distance in Å.
Element x y z (fractional)
La 0.0000 0.0000 0.0000  6 Te 3.23
La 0.3338 0.3338 0.6669  6 Te 3.23-3.24
La 0.6662 0.6662 0.3331  6 Te 3.23-3.24
Ce 0.0000 0.0000 0.5000  6 Te 3.18-3.19
Pm 0.3332 0.3332 0.1672  6 Te 3.17
Pm 0.6668 0.6668 0.8328  6 Te 3.17
Te 0.1658 0.1658 0.5876  2 Pm 3.17, 1 Ce 3.19, 3 La 3.23
Te 0.1683 0.1683 0.0789  3 Pm 3.17, 3 La 3.23-3.24
Te 0.4980 0.4980 0.2525  1 Pm 3.17, 2 Ce 3.18, 3 La 3.23
Te 0.5020 0.5020 0.7475  1 Pm 3.17, 2 Ce 3.18, 3 La 3.23
Te 0.8317 0.8317 0.9211  3 Pm 3.17, 3 La 3.23-3.24
Te 0.8342 0.8342 0.4124  2 Pm 3.17, 1 Ce 3.19, 3 La 3.23

## Properties
The value obtained for the uncorrected formation energy is -1.497 eV/atom. The total DFT energy (no corrections) comes out at -5.586 eV/atom. As for the symmetry: C2/m.



VASP calculation (PBE-GGA) on a relaxed structure of La3Ce3PmTe8.

Cell: 9.0885 9.0885 9.0885 Å, 59.44 59.44 59.44°
Last column: nearest neighbours and their distance in Å.
Element x y z (fractional)
La 0.0000 0.5000 0.5000  6 Te 3.22
La 0.5000 0.0000 0.5000  6 Te 3.22
La 0.5000 0.5000 0.0000  6 Te 3.22
Ce 0.0000 0.0000 0.5000  6 Te 3.18
Ce 0.0000 0.5000 0.0000  6 Te 3.18
Ce 0.5000 0.0000 0.0000  6 Te 3.18
Pm 0.5000 0.5000 0.5000  6 Te 3.22
Te 0.2450 0.7517 0.7517  2 Ce 3.18, 2 La 3.22, 1 Pm 3.22
Te 0.2484 0.2484 0.2484  3 Ce 3.18, 3 La 3.22
Te 0.2483 0.2483 0.7550  2 Ce 3.18, 2 La 3.22, 1 Pm 3.22
Te 0.2483 0.7550 0.2483  2 Ce 3.18, 2 La 3.22, 1 Pm 3.22
Te 0.7517 0.2450 0.7517  2 Ce 3.18, 2 La 3.22, 1 Pm 3.22
Te 0.7517 0.7517 0.2450  2 Ce 3.18, 2 La 3.22, 1 Pm 3.22
Te 0.7516 0.7516 0.7516  3 Ce 3.18, 3 La 3.22
Te 0.7550 0.2483 0.2483  2 Ce 3.18, 2 La 3.22, 1 Pm 3.22

## Properties
The value obtained for the uncorrected formation energy is -1.491 eV/atom. The total DFT energy (no corrections) comes out at -5.656 eV/atom. As for the symmetry: R-3m.



VASP calculation (PBE-GGA) on a relaxed structure of La4Ce3PmTe8.

Cell: 9.0868 9.0868 9.0868 Å, 59.76 59.76 59.76°
Last column: nearest neighbours and their distance in Å.
Element x y z (fractional)
La 0.0000 0.0000 0.0000  6 Te 3.24
La 0.0000 0.5000 0.5000  6 Te 3.23
La 0.5000 0.0000 0.5000  6 Te 3.23
La 0.5000 0.5000 0.0000  6 Te 3.23
Ce 0.0000 0.0000 0.5000  6 Te 3.18
Ce 0.0000 0.5000 0.0000  6 Te 3.18
Ce 0.5000 0.0000 0.0000  6 Te 3.18
Pm 0.5000 0.5000 0.5000  6 Te 3.18
Te 0.2482 0.2482 0.2482  3 Ce 3.18, 3 La 3.23
Te 0.2487 0.7475 0.7475  1 Pm 3.18, 2 Ce 3.18, 3 La 3.23-3.24
Te 0.2525 0.2525 0.7513  1 Pm 3.18, 2 Ce 3.18, 3 La 3.23-3.24
Te 0.2525 0.7513 0.2525  1 Pm 3.18, 2 Ce 3.18, 3 La 3.23-3.24
Te 0.7475 0.2487 0.7475  1 Pm 3.18, 2 Ce 3.18, 3 La 3.23-3.24
Te 0.7475 0.7475 0.2487  1 Pm 3.18, 2 Ce 3.18, 3 La 3.23-3.24
Te 0.7513 0.2525 0.2525  1 Pm 3.18, 2 Ce 3.18, 3 La 3.23-3.24
Te 0.7518 0.7518 0.7518  3 Ce 3.18, 3 La 3.23

## Properties
The value obtained for the uncorrected formation energy is -1.487 eV/atom. The total DFT energy (no corrections) comes out at -5.699 eV/atom. As for the symmetry: R-3m.



VASP calculation (PBE-GGA) on a relaxed structure of LaCe3Pm2Te6.

Cell: 7.7583 7.7583 7.8552 Å, 99.48 99.48 120.09°
Last column: nearest neighbours and their distance in Å.
Element x y z (fractional)
La 0.0000 0.0000 0.0000  6 Te 3.20-3.21
Ce 0.1645 0.8355 0.5000  6 Te 3.17-3.19
Ce 0.5000 0.5000 0.5000  6 Te 3.16-3.19
Ce 0.8355 0.1645 0.5000  6 Te 3.17-3.19
Pm 0.3326 0.6674 0.0000  6 Te 3.17
Pm 0.6674 0.3326 0.0000  6 Te 3.17
Te 0.0841 0.4215 0.2514  2 Pm 3.17, 3 Ce 3.17-3.19, 1 La 3.21
Te 0.2552 0.2552 0.7515  3 Ce 3.16-3.18, 2 Pm 3.17, 1 La 3.20
Te 0.4215 0.0841 0.2514  2 Pm 3.17, 3 Ce 3.17-3.19, 1 La 3.21
Te 0.5785 0.9159 0.7486  2 Pm 3.17, 3 Ce 3.17-3.19, 1 La 3.21
Te 0.7448 0.7448 0.2485  3 Ce 3.16-3.18, 2 Pm 3.17, 1 La 3.20
Te 0.9159 0.5785 0.7486  2 Pm 3.17, 3 Ce 3.17-3.19, 1 La 3.21

## Properties
The value obtained for the uncorrected formation energy is -1.424 eV/atom. The total DFT energy (no corrections) comes out at -5.680 eV/atom. As for the symmetry: C2/m.



VASP calculation (PBE-GGA) on a relaxed structure of La2CePm3Te6.

Cell: 10.0699 10.0699 9.0539 Å, 102.73 102.73 25.81°
Last column: nearest neighbours and their distance in Å.
Element x y z (fractional)
La 0.1657 0.1657 0.3320  6 Te 3.22-3.23
La 0.8343 0.8343 0.6680  6 Te 3.22-3.23
Ce 0.5000 0.5000 0.0000  6 Te 3.18-3.20
Pm 0.1685 0.1685 0.8352  6 Te 3.15-3.17
Pm 0.5000 0.5000 0.5000  6 Te 3.17-3.18
Pm 0.8315 0.8315 0.1648  6 Te 3.15-3.17
Te 0.0028 0.0028 0.7498  3 Pm 3.17-3.18, 2 Ce 3.20, 1 La 3.22
Te 0.3337 0.3337 0.9217  3 Pm 3.15-3.16, 1 Ce 3.18, 2 La 3.22
Te 0.3345 0.3345 0.4123  3 Pm 3.17, 3 La 3.23
Te 0.6655 0.6655 0.5877  3 Pm 3.17, 3 La 3.23
Te 0.6663 0.6663 0.0783  3 Pm 3.15-3.16, 1 Ce 3.18, 2 La 3.22
Te 0.9972 0.9972 0.2502  3 Pm 3.17-3.18, 2 Ce 3.20, 1 La 3.22

## Properties
The value obtained for the uncorrected formation energy is -1.468 eV/atom. The total DFT energy (no corrections) comes out at -5.542 eV/atom. As for the symmetry: C2/m.



VASP calculation (PBE-GGA) on a relaxed structure of La2Ce3PmTe6.

Cell: 10.1315 10.1315 9.1014 Å, 103.64 103.64 25.60°
Last column: nearest neighbours and their distance in Å.
Element x y z (fractional)
La 0.1659 0.1659 0.3323  6 Te 3.22-3.23
La 0.8341 0.8341 0.6677  6 Te 3.22-3.23
Ce 0.1678 0.1678 0.8340  6 Te 3.17-3.20
Ce 0.5000 0.5000 0.5000  6 Te 3.18-3.21
Ce 0.8322 0.8322 0.1660  6 Te 3.17-3.20
Pm 0.5000 0.5000 0.0000  6 Te 3.17-3.19
Te 0.0021 0.0021 0.7526  3 Ce 3.18-3.21, 2 Pm 3.19, 1 La 3.22
Te 0.3342 0.3342 0.4139  3 Ce 3.18, 3 La 3.22-3.23
Te 0.3346 0.3346 0.9212  3 Ce 3.17-3.20, 1 Pm 3.17, 2 La 3.22
Te 0.6654 0.6654 0.0788  3 Ce 3.17-3.20, 1 Pm 3.17, 2 La 3.22
Te 0.6658 0.6658 0.5861  3 Ce 3.18, 3 La 3.22-3.23
Te 0.9979 0.9979 0.2474  3 Ce 3.18-3.21, 2 Pm 3.19, 1 La 3.22

## Properties
The value obtained for the uncorrected formation energy is -1.452 eV/atom. The total DFT energy (no corrections) comes out at -5.723 eV/atom. As for the symmetry: C2/m.



VASP calculation (PBE-GGA) on a relaxed structure of LaCePmTh.

Cell: 5.7201 5.7201 5.7201 Å, 60.00 60.00 60.00°
Last column: nearest neighbours and their distance in Å.
Element x y z (fractional)
La 0.0000 0.0000 0.0000  4 Ce 3.50, 4 Pm 3.50
Ce 0.7500 0.7500 0.7500  4 Th 3.50, 4 La 3.50
Pm 0.2500 0.2500 0.2500  4 La 3.50, 4 Th 3.50
Th 0.5000 0.5000 0.5000  4 Ce 3.50, 4 Pm 3.50

## Properties
The calculation puts the energy above the lowest structure with this stoichiometry at 0.193 eV per atom. The total DFT energy (no corrections) comes out at -5.535 eV/atom. As for the symmetry: F-43m. Its formation energy is 0.223 eV/atom.